1.
# Mg2TlB2O6

A geometry-optimized Mg2TlB2O6 structure (PBE-GGA, Alexandria).

```
Mg2TlB2O6
1.0
5.153 0.000 0.000
-2.051 5.170 0.000
-2.223 -1.107 4.986
Mg Tl B O
2 1 2 6
Direct
0.134 0.373 0.235
0.866 0.627 0.765
0.500 0.000 0.500
0.204 0.232 0.757
0.796 0.768 0.243
0.028 0.340 0.826
0.176 0.982 0.783
0.396 0.389 0.653
0.604 0.611 0.347
0.824 0.018 0.217
0.972 0.660 0.174
```

* E_tot: -6.55 eV per atom
* space-group type: P-1
* magnetic moment: 0.0 μB per cell
* raw formation energy: -2.129 eV/atom

---

2.
# MnZn5Rh4

A geometry-optimized MnZn5Rh4 structure (PBE-GGA, Alexandria).

```
MnZn5Rh4
1.0
6.496 -2.137 0.000
6.496 2.137 0.000
-1.484 0.000 5.012
Mn Zn Rh
1 5 4
Direct
0.000 0.000 0.000
0.000 0.000 0.500
0.204 0.204 0.806
0.397 0.397 0.617
0.603 0.603 0.383
0.796 0.796 0.194
0.199 0.199 0.300
0.404 0.404 0.123
0.596 0.596 0.877
0.801 0.801 0.700
```

* E_tot: -4.84 eV per atom
* ΔH_f (0 K): -0.3474 eV per atom
* space-group type: C2/m
* magnetic moment: 4.3 μB per cell

---

3.
# RbBa2GaPt

A geometry-optimized RbBa2GaPt structure (PBE-GGA, Alexandria).

```
RbBa2GaPt
1.0
6.368 0.000 0.000
0.000 6.368 0.000
0.000 0.000 5.021
Rb Ba Ga Pt
1 2 1 1
Direct
0.000 0.000 0.000
0.000 0.500 0.500
0.500 0.000 0.500
0.500 0.500 0.000
0.500 0.500 0.500
```

* E_tot: -3.09 eV per atom
* ΔH_f (0 K): -0.3135 eV per atom
* space-group type: P4/mmm
* magnetic moment: 0.0 μB per cell

---

4.
# NaErTh2Sb4

A geometry-optimized NaErTh2Sb4 structure (PBE-GGA, Alexandria).

```
NaErTh2Sb4
1.0
7.622 0.000 0.000
0.000 4.514 0.000
-2.618 0.000 7.406
Na Er Th Sb
1 1 2 4
Direct
0.000 0.000 0.000
0.000 0.500 0.500
0.500 0.000 0.500
0.500 0.500 0.000
0.243 0.000 0.746
0.251 0.500 0.255
0.749 0.500 0.745
0.757 0.000 0.254
```

* E_tot: -5.45 eV per atom
* space-group type: P2/m
* magnetic moment: 0.0 μB per cell
* raw formation energy: -0.797 eV/atom

---

5.
# MgBiP2Cl

A geometry-optimized MgBiP2Cl structure (PBE-GGA, Alexandria).

```
MgBiP2Cl
1.0
5.293 0.000 0.000
0.000 5.293 0.000
0.000 0.000 5.298
Mg Bi P Cl
1 1 2 1
Direct
0.000 0.000 0.000
0.500 0.500 0.500
0.000 0.500 0.500
0.500 0.000 0.500
0.500 0.500 0.000
```

* E_tot: -3.05 eV per atom
* polymorph energy (0 for the lowest one): 1.74 eV per formula unit
* space-group type: P4/mmm
* magnetic moment: 0.0 μB per cell
* raw formation energy: 0.576 eV/atom

---

6.
# ZnCrAs2

A geometry-optimized ZnCrAs2 structure (PBE-GGA, Alexandria).

```
ZnCrAs2
1.0
-1.884 1.884 4.713
1.884 -1.884 4.713
1.884 1.884 -4.713
Zn Cr As
1 1 2
Direct
0.000 0.000 0.000
0.750 0.250 0.500
0.250 0.750 0.500
0.500 0.500 0.000
```

* E_tot: -4.84 eV per atom
* ΔH_f (0 K): 0.2042 eV per atom
* space-group type: I-4m2
* magnetic moment: 3.0 μB per cell